Entry 1:
Here is an optimized crystal structure of Hf2Fe2Mo3 from OQMD via LeMat-Bulk. Energies are from GGA-PBE.

The structure in POSCAR format:
```
Hf2Fe2Mo3
1.0
7.052 0.822 2.146
4.692 -0.044 5.743
5.888 -3.308 3.066
Mo Fe Hf
3 2 2
direct
0.630 0.630 0.630
0.879 0.879 0.879
0.376 0.376 0.376
0.998 0.998 0.998
0.493 0.493 0.493
0.241 0.241 0.241
0.759 0.759 0.759
```

## Properties
Electronic total energy   -0.6931 Ry per atom
ΔH_f (0 K)   0.44 eV/atom
Space-group type   R3m, No. 160
Size of the total moment   0.522 Bohr magnetons per cell

Entry 2:
Here is an optimized crystal structure of Er3Lu4Ir2Se2 from OQMD via LeMat-Bulk. Energies are from GGA-PBE.

The structure in POSCAR format:
```
Er3Lu4Ir2Se2
1.0
-2.859 -8.314 -1.630
-6.054 6.468 1.215
5.878 -4.835 -4.694
Lu Ir Se Er
4 2 2 3
direct
0.868 0.052 0.816
0.559 0.418 0.141
0.236 0.052 0.184
0.277 0.418 0.859
0.490 0.752 0.737
0.015 0.752 0.263
0.517 0.017 0.500
0.923 0.923 0.000
0.889 0.265 0.624
0.181 0.681 0.500
0.640 0.265 0.376
```

## Properties
Electronic total energy   -0.4570 Ry per atom
Space-group type   Imm2, No. 44
Size of the total moment   0.005 Bohr magnetons per cell